Entry 1
# CaLaPd

A geometry-optimized CaLaPd structure (PBE, the Alexandria database).

Properties
**Calculated density**: 5.14 g/cm³
**Crystal system**: cubic

CIF file:
```
data_CaLaPd
_chemical_formula_sum 'Ca1 La1 Pd1'
_space_group_name_H-M_alt 'P 1'
_space_group_IT_number 1
_space_group_name_Hall 'P 1'
_cell_length_a 5.071
_cell_length_b 5.071
_cell_length_c 5.071
_cell_angle_alpha 60.00
_cell_angle_beta 60.00
_cell_angle_gamma 60.00
loop_
_atom_site_label
_atom_site_type_symbol
_atom_site_fract_x
_atom_site_fract_y
_atom_site_fract_z
Ca1 Ca 0.000 0.000 0.000
Pd1 Pd 0.250 0.250 0.250
La1 La 0.500 0.500 0.500
```


Entry 2
# CaLaPd

A geometry-optimized CaLaPd structure (PBE, the Alexandria database).

Properties
**Calculated density**: 5.23 g/cm³
**Crystal system**: monoclinic

CIF file:
```
data_CaLaPd
_chemical_formula_sum 'Ca2 La2 Pd2'
_space_group_name_H-M_alt 'P 1'
_space_group_IT_number 1
_space_group_name_Hall 'P 1'
_cell_length_a 4.842
_cell_length_b 5.883
_cell_length_c 6.600
_cell_angle_alpha 105.50
_cell_angle_beta 90.00
_cell_angle_gamma 90.00
loop_
_atom_site_label
_atom_site_type_symbol
_atom_site_fract_x
_atom_site_fract_y
_atom_site_fract_z
Ca1 Ca 0.752 0.578 0.299
Ca2 Ca 0.252 0.429 0.705
La1 La 0.752 0.996 0.833
La2 La 0.252 0.011 0.170
Pd1 Pd 0.752 0.121 0.421
Pd2 Pd 0.252 0.887 0.582
```


Going by the computed energies, the most stable comes first: entry 2, entry 1.


Entry 1
# CaLa2Pd

A geometry-optimized CaLa2Pd structure (PBE, the Alexandria database).

Properties
**Calculated density**: 5.33 g/cm³
**Crystal system**: tetragonal

CIF file:
```
data_CaLa2Pd
_chemical_formula_sum 'Ca2 La4 Pd2'
_space_group_name_H-M_alt 'P 1'
_space_group_IT_number 1
_space_group_name_Hall 'P 1'
_cell_length_a 8.902
_cell_length_b 8.902
_cell_length_c 7.123
_cell_angle_alpha 51.33
_cell_angle_beta 51.33
_cell_angle_gamma 90.00
loop_
_atom_site_label
_atom_site_type_symbol
_atom_site_fract_x
_atom_site_fract_y
_atom_site_fract_z
Ca1 Ca 0.500 0.500 0.000
Ca2 Ca 0.250 0.750 0.500
Pd1 Pd 0.000 0.000 0.000
Pd2 Pd 0.750 0.250 0.500
La1 La 0.691 0.125 0.250
La2 La 0.059 0.625 0.250
La3 La 0.375 0.309 0.750
La4 La 0.875 0.941 0.750
```


Entry 2
# CaLa2Pd

A geometry-optimized CaLa2Pd structure (PBE, the Alexandria database).

Properties
**Calculated density**: 4.89 g/cm³
**Crystal system**: trigonal

CIF file:
```
data_CaLa2Pd
_chemical_formula_sum 'Ca1 La2 Pd1'
_space_group_name_H-M_alt 'P 1'
_space_group_IT_number 1
_space_group_name_Hall 'P 1'
_cell_length_a 4.075
_cell_length_b 4.075
_cell_length_c 10.290
_cell_angle_alpha 78.58
_cell_angle_beta 78.58
_cell_angle_gamma 60.00
loop_
_atom_site_label
_atom_site_type_symbol
_atom_site_fract_x
_atom_site_fract_y
_atom_site_fract_z
Ca1 Ca 0.500 0.500 0.500
Pd1 Pd 0.000 0.000 0.000
La1 La 0.274 0.274 0.177
La2 La 0.726 0.726 0.823
```


Entry 3
# CaLa2Pd

A geometry-optimized CaLa2Pd structure (PBE, the Alexandria database).

Properties
**Calculated density**: 5.54 g/cm³
**Crystal system**: orthorhombic

CIF file:
```
data_CaLa2Pd
_chemical_formula_sum 'Ca2 La4 Pd2'
_space_group_name_H-M_alt 'P 1'
_space_group_IT_number 1
_space_group_name_Hall 'P 1'
_cell_length_a 4.139
_cell_length_b 6.676
_cell_length_c 9.675
_cell_angle_alpha 90.00
_cell_angle_beta 90.00
_cell_angle_gamma 108.04
loop_
_atom_site_label
_atom_site_type_symbol
_atom_site_fract_x
_atom_site_fract_y
_atom_site_fract_z
Ca1 Ca 0.930 0.860 0.250
Ca2 Ca 0.070 0.140 0.750
La1 La 0.359 0.718 0.558
La2 La 0.641 0.282 0.442
La3 La 0.359 0.718 0.942
La4 La 0.641 0.282 0.058
Pd1 Pd 0.769 0.537 0.750
Pd2 Pd 0.231 0.463 0.250
```


Entry 4
# CaLa2Pd

A geometry-optimized CaLa2Pd structure (PBE, the Alexandria database).

Properties
**Calculated density**: 5.29 g/cm³
**Crystal system**: tetragonal

CIF file:
```
data_CaLa2Pd
_chemical_formula_sum 'Ca1 La2 Pd1'
_space_group_name_H-M_alt 'P 1'
_space_group_IT_number 1
_space_group_name_Hall 'P 1'
_cell_length_a 3.730
_cell_length_b 3.730
_cell_length_c 9.578
_cell_angle_alpha 90.00
_cell_angle_beta 90.00
_cell_angle_gamma 90.00
loop_
_atom_site_label
_atom_site_type_symbol
_atom_site_fract_x
_atom_site_fract_y
_atom_site_fract_z
Ca1 Ca 0.500 0.500 0.500
Pd1 Pd 0.500 0.500 0.000
La1 La 0.000 0.000 0.823
La2 La 0.000 0.000 0.177
```


Going by the computed energies, the most stable comes first: entry 3, entry 4, entry 2, entry 1.


Entry 1
# Ca3LaPd

A geometry-optimized Ca3LaPd structure (PBE, the Alexandria database).

Properties
**Calculated density**: 3.42 g/cm³
**Crystal system**: cubic

CIF file:
```
data_Ca3LaPd
_chemical_formula_sum 'Ca3 La1 Pd1'
_space_group_name_H-M_alt 'P 1'
_space_group_IT_number 1
_space_group_name_Hall 'P 1'
_cell_length_a 5.621
_cell_length_b 5.621
_cell_length_c 5.621
_cell_angle_alpha 90.00
_cell_angle_beta 90.00
_cell_angle_gamma 90.00
loop_
_atom_site_label
_atom_site_type_symbol
_atom_site_fract_x
_atom_site_fract_y
_atom_site_fract_z
Ca1 Ca 0.000 0.500 0.000
Ca2 Ca 0.000 0.000 0.500
Ca3 Ca 0.500 0.000 0.000
Pd1 Pd 0.500 0.500 0.500
La1 La 0.000 0.000 0.000
```


Entry 2
# Ca3LaPd

A geometry-optimized Ca3LaPd structure (PBE, the Alexandria database).

Properties
**Calculated density**: 3.37 g/cm³
**Crystal system**: cubic

CIF file:
```
data_Ca3LaPd
_chemical_formula_sum 'Ca3 La1 Pd1'
_space_group_name_H-M_alt 'P 1'
_space_group_IT_number 1
_space_group_name_Hall 'P 1'
_cell_length_a 5.647
_cell_length_b 5.647
_cell_length_c 5.647
_cell_angle_alpha 90.00
_cell_angle_beta 90.00
_cell_angle_gamma 90.00
loop_
_atom_site_label
_atom_site_type_symbol
_atom_site_fract_x
_atom_site_fract_y
_atom_site_fract_z
Ca1 Ca 0.000 0.500 0.000
Ca2 Ca 0.000 0.000 0.500
Ca3 Ca 0.500 0.000 0.000
Pd1 Pd 0.000 0.000 0.000
La1 La 0.500 0.500 0.500
```


Going by the computed energies, the most stable comes first: entry 2, entry 1.


Entry 1
# CaLa4Pd2

A geometry-optimized CaLa4Pd2 structure (PBE, the Alexandria database).

Properties
**Calculated density**: 5.90 g/cm³
**Crystal system**: triclinic

CIF file:
```
data_CaLa4Pd2
_chemical_formula_sum 'Ca2 La8 Pd4'
_space_group_name_H-M_alt 'P 1'
_space_group_IT_number 1
_space_group_name_Hall 'P 1'
_cell_length_a 7.431
_cell_length_b 7.438
_cell_length_c 9.934
_cell_angle_alpha 119.31
_cell_angle_beta 106.78
_cell_angle_gamma 87.79
loop_
_atom_site_label
_atom_site_type_symbol
_atom_site_fract_x
_atom_site_fract_y
_atom_site_fract_z
Ca1 Ca 0.056 0.556 0.500
Ca2 Ca 0.194 0.194 0.000
La1 La 0.009 0.977 0.217
La2 La 0.395 0.695 0.316
La3 La 0.759 0.792 0.782
La4 La 0.888 0.090 0.588
La5 La 0.502 0.300 0.412
La6 La 0.379 0.080 0.685
La7 La 0.360 0.675 0.903
La8 La 0.773 0.458 0.097
Pd1 Pd 0.658 0.405 0.762
Pd2 Pd 0.643 0.896 0.238
Pd3 Pd 0.593 0.083 0.042
Pd4 Pd 0.041 0.550 0.958
```


Entry 2
# CaLa4Pd2

A geometry-optimized CaLa4Pd2 structure (PBE, the Alexandria database).

Properties
**Calculated density**: 6.26 g/cm³
**Crystal system**: monoclinic

CIF file:
```
data_CaLa4Pd2
_chemical_formula_sum 'Ca2 La8 Pd4'
_space_group_name_H-M_alt 'P 1'
_space_group_IT_number 1
_space_group_name_Hall 'P 1'
_cell_length_a 6.667
_cell_length_b 8.328
_cell_length_c 8.427
_cell_angle_alpha 113.63
_cell_angle_beta 90.00
_cell_angle_gamma 90.00
loop_
_atom_site_label
_atom_site_type_symbol
_atom_site_fract_x
_atom_site_fract_y
_atom_site_fract_z
Ca1 Ca 0.250 0.849 0.980
Ca2 Ca 0.750 0.151 0.020
Pd1 Pd 0.250 0.238 0.994
Pd2 Pd 0.750 0.762 0.006
Pd3 Pd 0.750 0.369 0.416
Pd4 Pd 0.250 0.631 0.584
La1 La 0.504 0.408 0.777
La2 La 0.250 0.267 0.351
La3 La 0.750 0.733 0.649
La4 La 0.996 0.408 0.777
La5 La 0.750 0.012 0.387
La6 La 0.004 0.592 0.223
La7 La 0.496 0.592 0.223
La8 La 0.250 0.988 0.613
```


Going by the computed energies, the most stable comes first: entry 2, entry 1.


Entry 1
# SrCaLa2Pd

A geometry-optimized SrCaLa2Pd structure (PBE, the Alexandria database).

Properties
**Calculated density**: 4.31 g/cm³
**Crystal system**: tetragonal

CIF file:
```
data_SrCaLa2Pd
_chemical_formula_sum 'Sr1 Ca1 La2 Pd1'
_space_group_name_H-M_alt 'P 1'
_space_group_IT_number 1
_space_group_name_Hall 'P 1'
_cell_length_a 5.761
_cell_length_b 5.761
_cell_length_c 5.950
_cell_angle_alpha 90.00
_cell_angle_beta 90.00
_cell_angle_gamma 90.00
loop_
_atom_site_label
_atom_site_type_symbol
_atom_site_fract_x
_atom_site_fract_y
_atom_site_fract_z
Sr1 Sr 0.500 0.500 0.500
Ca1 Ca 0.000 0.000 0.500
Pd1 Pd 0.000 0.000 0.000
La1 La 0.000 0.500 0.000
La2 La 0.500 0.000 0.000
```


Entry 2
# SrCaLa2Pd

A geometry-optimized SrCaLa2Pd structure (PBE, the Alexandria database).

Properties
**Calculated density**: 4.19 g/cm³
**Crystal system**: tetragonal

CIF file:
```
data_SrCaLa2Pd
_chemical_formula_sum 'Sr1 Ca1 La2 Pd1'
_space_group_name_H-M_alt 'P 1'
_space_group_IT_number 1
_space_group_name_Hall 'P 1'
_cell_length_a 5.732
_cell_length_b 5.732
_cell_length_c 6.175
_cell_angle_alpha 90.00
_cell_angle_beta 90.00
_cell_angle_gamma 90.00
loop_
_atom_site_label
_atom_site_type_symbol
_atom_site_fract_x
_atom_site_fract_y
_atom_site_fract_z
Sr1 Sr 0.000 0.000 0.500
Ca1 Ca 0.500 0.500 0.500
Pd1 Pd 0.000 0.000 0.000
La1 La 0.000 0.500 0.000
La2 La 0.500 0.000 0.000
```


Going by the computed energies, the most stable comes first: entry 1, entry 2.


Entry 1
# CaLaY2Pd

A geometry-optimized CaLaY2Pd structure (PBE, the Alexandria database).

Properties
**Calculated density**: 4.31 g/cm³
**Crystal system**: tetragonal

CIF file:
```
data_CaLaY2Pd
_chemical_formula_sum 'Ca1 La1 Y2 Pd1'
_space_group_name_H-M_alt 'P 1'
_space_group_IT_number 1
_space_group_name_Hall 'P 1'
_cell_length_a 5.644
_cell_length_b 5.644
_cell_length_c 5.599
_cell_angle_alpha 90.00
_cell_angle_beta 90.00
_cell_angle_gamma 90.00
loop_
_atom_site_label
_atom_site_type_symbol
_atom_site_fract_x
_atom_site_fract_y
_atom_site_fract_z
Y1 Y 0.000 0.500 0.000
Y2 Y 0.500 0.000 0.000
Ca1 Ca 0.500 0.500 0.500
Pd1 Pd 0.000 0.000 0.000
La1 La 0.000 0.000 0.500
```


Entry 2
# CaLaY2Pd

A geometry-optimized CaLaY2Pd structure (PBE, the Alexandria database).

Properties
**Calculated density**: 4.50 g/cm³
**Crystal system**: tetragonal

CIF file:
```
data_CaLaY2Pd
_chemical_formula_sum 'Ca1 La1 Y2 Pd1'
_space_group_name_H-M_alt 'P 1'
_space_group_IT_number 1
_space_group_name_Hall 'P 1'
_cell_length_a 5.509
_cell_length_b 5.509
_cell_length_c 5.631
_cell_angle_alpha 90.00
_cell_angle_beta 90.00
_cell_angle_gamma 90.00
loop_
_atom_site_label
_atom_site_type_symbol
_atom_site_fract_x
_atom_site_fract_y
_atom_site_fract_z
Y1 Y 0.000 0.500 0.000
Y2 Y 0.500 0.000 0.000
Ca1 Ca 0.000 0.000 0.500
Pd1 Pd 0.000 0.000 0.000
La1 La 0.500 0.500 0.500
```


Going by the computed energies, the most stable comes first: entry 1, entry 2.